Material: Li2PmMoO6
Method: DFT, PBE with a Hubbard U
State: relaxed

It has space group P2_1/c (No. 14), with a = 5.5249 Å, b = 5.3741 Å, c = 9.6749 Å, α = 90.00°, β = 124.01° and γ = 90.00°. The asymmetric unit holds Li at (0.2006, 0.0247, 0.2392), Pm at (0.0000, 0.0000, 0.5000), Mo at (0.5000, 0.0000, 0.0000), O at (0.1639, 0.0836, 0.7766), O at (0.2480, 0.6228, 0.5606) and O at (0.4670, 0.1624, 0.5732).

Its total DFT energy (no corrections) is -131.14 eV for the cell shown. Its total moment is 2.11 Bohr magnetons per cell.

Material: LiPmMoO4
Method: DFT, PBE with a Hubbard U
State: relaxed

It has space group Imma (No. 74), with a = 6.3574 Å, b = 7.1982 Å, c = 9.3005 Å, α = 90.00°, β = 90.00° and γ = 90.00°. The asymmetric unit holds Li at (0.0000, 0.2500, 0.0773), Pm at (0.0000, 0.0000, 0.5000), Mo at (0.2500, 0.2500, 0.7500), O at (0.0000, 0.0539, 0.7486) and O at (0.2377, 0.2500, 0.5281).

Its total DFT energy (no corrections) is -198.56 eV for the cell shown. Its total moment is 8.00 Bohr magnetons per cell.

Material: Li3Pm2MoO6
Method: DFT, PBE with a Hubbard U
State: relaxed

It has space group C2/m (No. 12), with a = 5.7283 Å, b = 10.5028 Å, c = 5.3218 Å, α = 90.00°, β = 105.97° and γ = 90.00°. The asymmetric unit holds Li at (0.0000, 0.0000, 0.0000), Li at (0.0000, 0.3768, 0.0000), Pm at (0.0000, 0.1678, 0.5000), Mo at (0.0000, 0.5000, 0.5000), O at (0.2105, 0.3457, 0.7346) and O at (0.2441, 0.0000, 0.7451).

Its total DFT energy (no corrections) is -161.30 eV for the cell shown. Its total moment is 6.00 Bohr magnetons per cell.

Material: LiPmMoO5
Method: DFT, PBE with a Hubbard U
State: relaxed

It has space group C2/c (No. 15), with a = 6.3762 Å, b = 11.0349 Å, c = 8.1649 Å, α = 90.00°, β = 112.79° and γ = 90.00°. The asymmetric unit holds Li at (0.0000, 0.0032, 0.2500), Pm at (0.2500, 0.2500, 0.0000), Mo at (0.0000, 0.4674, 0.2500), O at (0.0000, 0.1649, 0.7500), O at (0.0169, 0.3726, 0.4320) and O at (0.2494, 0.0645, 0.1755).

Its total DFT energy (no corrections) is -225.69 eV for the cell shown. Its total moment is 0.00 Bohr magnetons per cell.

Material: Li2PmMoO4
Method: DFT, PBE with a Hubbard U
State: relaxed

It has space group P2/m (No. 10), with a = 5.3667 Å, b = 3.4238 Å, c = 5.5842 Å, α = 90.00°, β = 106.58° and γ = 90.00°. The asymmetric unit holds Li at (0.0000, 0.0000, 0.0000), Li at (0.0000, 0.5000, 0.5000), Pm at (0.5000, 0.0000, 0.5000), Mo at (0.5000, 0.5000, 0.0000), O at (0.2554, 0.5000, 0.2580) and O at (0.2682, 0.0000, 0.7959).

Its total DFT energy (no corrections) is -53.05 eV for the cell shown. Its total moment is 3.00 Bohr magnetons per cell.

Material: LiPm2MoO5
Method: DFT, PBE with a Hubbard U
State: relaxed

It has space group P4/mbm (No. 127), with a = 6.8364 Å, b = 6.8364 Å, c = 5.7760 Å, α = 90.00°, β = 90.00° and γ = 90.00°. The asymmetric unit holds Li at (0.0000, 0.0000, 0.0000), Pm at (0.1775, 0.3225, 0.5000), Mo at (0.0000, 0.5000, 0.0000), O at (0.0000, 0.0000, 0.5000) and O at (0.1382, 0.6382, 0.2487).

Its total DFT energy (no corrections) is -128.55 eV for the cell shown. Its total moment is 1.98 Bohr magnetons per cell.